The following is a DFT calculation (PBE) of a geometry-optimized AcErGaIr structure.

Computed properties:
Calculated total energy ... -5.601 eV/atom
Formation energy ... -44 kJ per mole of atoms
Crystal system ... cubic

The structure in POSCAR format:
```
AcErGaIr
1.0
0.000 3.658 3.658
3.658 0.000 3.658
3.658 3.658 0.000
Ac Er Ga Ir
1 1 1 1
direct
0.000 0.000 0.000
0.500 0.500 0.500
0.750 0.750 0.750
0.250 0.250 0.250
```